# 1
OsPt2Br: relaxed, GGA-PBE.

- symmetry = R-3m (166)
- crystal system = trigonal
- raw formation energy (kJ/mol of atoms) = 49.8
- total DFT energy (no corrections) (eV/atom) = -5.730

a = 9.704 Å, b = 9.704 Å, c = 9.704 Å
α = 17.01°, β = 17.01°, γ = 17.01°
Positions (direct):
Os  0.750  0.750  0.750
Br  0.250  0.250  0.250
Pt  0.009  0.009  0.009
Pt  0.491  0.491  0.491

---

# 2
Ac3SiAu: relaxed, GGA-PBE.

- symmetry = R3m (160)
- crystal system = trigonal
- raw formation energy (kJ/mol of atoms) = -7.8
- total DFT energy (no corrections) (eV/atom) = -4.286

a = 6.040 Å, b = 6.040 Å, c = 6.040 Å
α = 87.35°, β = 87.35°, γ = 87.36°
Positions (direct):
Ac  0.599  0.077  0.599
Ac  0.077  0.599  0.599
Ac  0.599  0.599  0.077
Si  0.573  0.573  0.573
Au  0.960  0.960  0.960

---

# 3
Pm6In5Pb: relaxed, GGA-PBE.

- symmetry = Cmmm (65)
- formation energy (eV per atom) = -0.497
- crystal system = orthorhombic
- total DFT energy (no corrections) (eV/atom) = -4.322

a = 10.168 Å, b = 5.092 Å, c = 8.066 Å
α = 71.60°, β = 80.91°, γ = 59.96°
Positions (direct):
Pm  0.748  0.086  0.334
Pm  0.252  0.581  0.334
Pm  0.251  0.249  0.000
Pm  0.749  0.751  0.000
Pm  0.748  0.419  0.666
Pm  0.252  0.914  0.666
In  0.500  0.166  0.667
In  0.000  0.329  0.342
In  0.500  0.500  0.000
In  0.000  0.671  0.658
In  0.500  0.834  0.333
Pb  0.000  0.000  0.000

---

# 4
InFe2Ag: relaxed, GGA-PBE.

- symmetry = P2/m (10)
- formation energy (eV per atom) = 0.337
- crystal system = monoclinic
- total DFT energy (no corrections) (eV/atom) = -5.292

a = 4.070 Å, b = 2.815 Å, c = 6.173 Å
α = 63.11°, β = 90.00°, γ = 90.00°
Last column: magnetic moment on the atom in μB.
Positions (direct):
Ag  0.500  0.750  0.750  0.00
Fe  0.000  0.008  0.992  2.64
Fe  0.000  0.492  0.508  2.64
In  0.500  0.250  0.250  -0.10

---

# 5
CsAc2Te3: relaxed, GGA-PBE.

- symmetry = P6_3/mmc (194)
- crystal system = hexagonal
- raw formation energy (kJ/mol of atoms) = -144.1
- total DFT energy (no corrections) (eV/atom) = -4.576

a = 4.815 Å, b = 4.815 Å, c = 25.858 Å
α = 90.00°, β = 90.00°, γ = 120.00°
Positions (direct):
Cs  0.000  0.000  0.250
Cs  0.000  0.000  0.750
Ac  0.333  0.667  0.925
Ac  0.667  0.333  0.075
Ac  0.667  0.333  0.425
Ac  0.333  0.667  0.575
Te  0.000  0.000  0.000
Te  0.333  0.667  0.146
Te  0.333  0.667  0.354
Te  0.000  0.000  0.500
Te  0.667  0.333  0.646
Te  0.667  0.333  0.854

---

# 6
LiEr2Sc3Te6: relaxed, GGA-PBE.

- symmetry = C2/m (12)
- crystal system = monoclinic
- raw formation energy (kJ/mol of atoms) = -114.5
- total DFT energy (no corrections) (eV/atom) = -5.260

a = 4.213 Å, b = 8.477 Å, c = 9.457 Å
α = 103.25°, β = 102.87°, γ = 90.00°
Positions (direct):
Li  0.500  0.000  0.000
Er  0.832  0.664  0.665
Er  0.168  0.336  0.335
Sc  0.500  0.500  0.000
Sc  0.831  0.172  0.662
Sc  0.169  0.828  0.338
Te  0.335  0.927  0.670
Te  0.663  0.589  0.326
Te  0.665  0.073  0.330
Te  0.997  0.248  0.995
Te  0.003  0.752  0.005
Te  0.337  0.411  0.674